[1]
Below is a relaxed TaIBrN2 crystal, with properties calculated at the GGA-PBE level.

Fermi-level density of states, states/eV per atom: 0.869
E above lowest polymorph, eV per atom: 2.130
Formation energy (no corrections), eV/atom: 2.60

a b c (Å): 4.013 4.013 5.825
angles (deg): 90.00 90.00 90.00
Space group P4/mmm (No. 123)
Inequivalent atoms, fractional coordinates:
Ta 0.000 0.000 0.000 x1
I 0.500 0.500 0.000 x1
Br 0.500 0.500 0.500 x1
N 0.000 0.500 0.500 x2

***

[2]
Below is a relaxed TaIBrN2 crystal, with properties calculated at the GGA-PBE level.

Fermi-level density of states, states/eV per atom: 0.473
E above lowest polymorph, eV per atom: 0.000
Formation energy (no corrections), eV/atom: 0.47

a b c (Å): 4.099 4.099 6.045
angles (deg): 90.00 90.00 90.00
Space group P4/mmm (No. 123)
Inequivalent atoms, fractional coordinates:
Ta 0.000 0.000 0.000 x1
I 0.000 0.000 0.500 x1
Br 0.500 0.500 0.500 x1
N 0.000 0.500 0.000 x2

***

[3]
Below is a relaxed TcI2BrN crystal, with properties calculated at the GGA-PBE level.

Fermi-level density of states, states/eV per atom: 0.752
E above lowest polymorph, eV per atom: 1.377
Formation energy (no corrections), eV/atom: 1.78

a b c (Å): 6.302 6.302 3.714
angles (deg): 90.00 90.00 90.00
Space group P4/mmm (No. 123)
Inequivalent atoms, fractional coordinates:
Tc 0.000 0.000 0.000 x1
I 0.000 0.500 0.500 x2
Br 0.500 0.500 0.500 x1
N 0.500 0.500 0.000 x1

***

[4]
Below is a relaxed TcI2BrN crystal, with properties calculated at the GGA-PBE level.

Fermi-level density of states, states/eV per atom: 0.960
E above lowest polymorph, eV per atom: 0.000
Formation energy (no corrections), eV/atom: 0.40

a b c (Å): 5.655 5.655 3.760
angles (deg): 90.00 90.00 90.00
Space group P4/mmm (No. 123)
Inequivalent atoms, fractional coordinates:
Tc 0.000 0.000 0.000 x1
I 0.000 0.500 0.000 x2
Br 0.500 0.500 0.500 x1
N 0.000 0.000 0.500 x1

***

[5]
Below is a relaxed Te2IBrN crystal, with properties calculated at the GGA-PBE level.

Fermi-level density of states, states/eV per atom: 1.134
E above lowest polymorph, eV per atom: 0.376
Formation energy (no corrections), eV/atom: 1.26

a b c (Å): 6.204 6.204 3.897
angles (deg): 90.00 90.00 90.00
Space group P4/mmm (No. 123)
Inequivalent atoms, fractional coordinates:
Te 0.000 0.500 0.000 x2
I 0.000 0.000 0.000 x1
Br 0.500 0.500 0.500 x1
N 0.000 0.000 0.500 x1

***

[6]
Below is a relaxed Te2IBrN crystal, with properties calculated at the GGA-PBE level.

Fermi-level density of states, states/eV per atom: 0.839
E above lowest polymorph, eV per atom: 0.476
Formation energy (no corrections), eV/atom: 1.36

a b c (Å): 6.255 6.255 3.669
angles (deg): 90.00 90.00 90.00
Space group P4/mmm (No. 123)
Inequivalent atoms, fractional coordinates:
Te 0.000 0.500 0.000 x2
I 0.000 0.000 0.500 x1
Br 0.500 0.500 0.000 x1
N 0.500 0.500 0.500 x1

***

[7]
Below is a relaxed TeIBrN2 crystal, with properties calculated at the GGA-PBE level.

Fermi-level density of states, states/eV per atom: 0.752
E above lowest polymorph, eV per atom: 0.353
Formation energy (no corrections), eV/atom: 1.73

a b c (Å): 4.133 4.133 7.018
angles (deg): 90.00 90.00 90.00
Space group P4/mmm (No. 123)
Inequivalent atoms, fractional coordinates:
Te 0.000 0.000 0.000 x1
I 0.000 0.000 0.500 x1
Br 0.500 0.500 0.000 x1
N 0.000 0.500 0.500 x2

***

[8]
Below is a relaxed Te2IBrN crystal, with properties calculated at the GGA-PBE level.

Fermi-level density of states, states/eV per atom: 0.735
E above lowest polymorph, eV per atom: 0.000
Formation energy (no corrections), eV/atom: 0.89

a b c (Å): 4.981 4.981 4.908
angles (deg): 90.00 90.00 90.00
Space group P4/mmm (No. 123)
Inequivalent atoms, fractional coordinates:
Te 0.000 0.500 0.000 x2
I 0.000 0.000 0.500 x1
Br 0.500 0.500 0.500 x1
N 0.000 0.000 0.000 x1